(1)
Li7Mg3Tl | PBE-GGA | relaxed

extended XYZ file:
```
11
Lattice="4.828 -5.060 0.000 4.828 5.060 0.000 -1.940 0.000 4.906" Properties=species:S:1:pos:R:3 pbc="T T T"
Li 0.000 0.000 0.000
Li 2.554 2.524 1.676
Li 1.025 0.000 4.463
Li 5.162 2.524 3.229
Li 2.554 -2.524 1.676
Li 6.690 0.000 0.442
Li 5.162 -2.524 3.229
Mg 4.828 2.217 0.000
Mg 3.858 0.000 2.453
Mg 4.828 -2.217 0.000
Tl -0.970 0.000 2.453
```

DOS at the Fermi energy: 5.65 states/eV/f.u.
energy above the lowest structure with this stoichiometry: 47 meV per atom



(2)
Li12Mg6Tl | PBE-GGA | relaxed

extended XYZ file:
```
19
Lattice="6.574 3.795 2.872 -6.574 3.795 2.872 0.000 -7.591 2.872" Properties=species:S:1:pos:R:3 pbc="T T T"
Li -2.573 -3.135 2.872
Li -4.001 -0.660 2.872
Li 0.000 -1.678 2.118
Li -1.453 0.839 2.118
Li 2.573 -3.135 2.872
Li -1.429 3.795 2.872
Li 1.453 0.839 2.118
Li -1.453 -0.839 6.499
Li 4.001 -0.660 2.872
Li 1.429 3.795 2.872
Li 1.453 -0.839 6.499
Li 0.000 1.678 6.499
Mg 0.000 -4.535 3.183
Mg -3.927 2.267 3.183
Mg -3.927 -2.267 5.434
Mg 3.927 2.267 3.183
Mg 3.927 -2.268 5.434
Mg 0.000 4.535 5.434
Tl 0.000 0.000 4.308
```

DOS at the Fermi energy: 8.77 states/eV/f.u.
energy above the lowest structure with this stoichiometry: 107 meV per atom



(3)
Li3MgTl | PBE-GGA | relaxed

extended XYZ file:
```
5
Lattice="2.785 1.608 3.847 -2.785 1.608 3.847 0.000 -3.216 3.847" Properties=species:S:1:pos:R:3 pbc="T T T"
Li 0.000 -1.584 3.847
Li -1.372 0.792 3.847
Li 1.372 0.792 3.847
Mg 0.000 0.000 9.123
Tl 0.000 0.000 6.219
```

DOS at the Fermi energy: 1.49 states/eV/f.u.
energy above the lowest structure with this stoichiometry: 0 meV per atom



(4)
Li7Mg2Tl3 | PBE-GGA | relaxed

extended XYZ file:
```
12
Lattice="4.728 0.000 0.000 0.000 3.289 0.000 -2.272 0.000 16.170" Properties=species:S:1:pos:R:3 pbc="T T T"
Li 0.000 0.000 0.000
Li 0.050 1.644 2.802
Li 0.045 1.644 8.710
Li 0.045 0.000 13.978
Li 2.412 0.000 2.192
Li 2.412 1.644 7.460
Li 2.407 1.644 13.368
Mg 0.040 1.644 11.533
Mg 2.417 1.644 4.637
Tl 0.054 0.000 6.032
Tl 2.364 1.644 0.000
Tl 2.402 0.000 10.138
```

DOS at the Fermi energy: 3.28 states/eV/f.u.
VASP energy: -24.9 eV for the cell shown



Question: DOS at the Fermi energy of number 2 (Li12Mg6Tl)?
Answer: 8.77 states/eV/f.u.